This record from the Alexandria database describes a geometry-optimized La2FeRh structure. The functional is GGA-PBE.

Unit cell a=7.1027 b=7.1022 c=3.6360 alpha=90.00 beta=90.31 gamma=90.00
Space group C2/m (No. 12)
Inequivalent atoms, fractional coordinates:
La1 0.2500 0.2500 0.0000 (multiplicity 4)
Fe1 0.0000 0.0000 0.5000 (multiplicity 2)
Rh1 0.0000 0.5000 0.5000 (multiplicity 2)

Calculated values
- Polymorph energy (0 for the lowest one): 96 meV/atom
- Magnetization: 0.417 μB/atom
- ΔE_f: -0.153 eV per atom
- Calculated density: 7.9 Mg/m³
- DFT total energy: -0.2415 Ha/atom